PaV4O12: optimized geometry, GGA+U.

Cell lengths 6.532, 6.460, 6.491 Å; angles 109.89, 108.68, 110.17 degrees
Fractional positions:
O: 0.186 0.251 0.454
O: 0.190 0.745 0.939
V: 0.485 0.501 0.471
O: 0.816 0.254 0.068
V: 0.964 0.979 0.461
O: 0.063 0.747 0.314
O: 0.305 0.500 0.219
O: 0.710 0.894 0.212
O: 0.715 0.500 0.810
O: 0.581 0.252 0.315
Pa: 0.008 0.500 0.499
V: 0.483 0.020 0.983
V: 0.969 0.498 0.975
O: 0.315 0.106 0.819
O: 0.830 0.749 0.563
O: 0.945 0.254 0.694
O: 0.436 0.751 0.703

- space-group type = P1 (1)
- total magnetic moment (μB per atom) = 0.059
- electronic total energy (eV per atom) = -7.93